Entry from the Alexandria database: crystalline BaSc2Br at its relaxed geometry (PBE-GGA).

Unit cell a=3.801 b=4.828 c=6.978 alpha=90.00 beta=105.67 gamma=90.00
Space group Pm (No. 6)
Inequivalent atoms, fractional coordinates:
Ba 0.000 0.000 0.000 (multiplicity 1)
Sc 0.288 0.500 0.580 (multiplicity 1)
Sc 0.739 0.000 0.483 (multiplicity 1)
Br 0.616 0.500 0.234 (multiplicity 1)

The energy above the most stable polymorph in this dataset comes out at 0.528 eV/f.u. As for the spin magnetization: 0.001 μB/f.u. The calculation puts the density at 4.1 g/cm³.

---

Entry from the Alexandria database: crystalline Pa3Re5P12 at its relaxed geometry (PBE-GGA).

Unit cell a=14.763 b=14.763 c=14.763 alpha=90.00 beta=90.00 gamma=90.00
Space group Ia-3d (No. 230)
Inequivalent atoms, fractional coordinates:
Pa 0.000 0.250 0.125 (multiplicity 24)
Re 0.000 0.000 0.000 (multiplicity 16)
Re 0.000 0.250 0.375 (multiplicity 24)
P 0.033 0.063 0.647 (multiplicity 96)

For the formation energy, the calculation gives -4.39 eV/f.u. As for the spin magnetization: 0.000 μB/f.u. The calculation puts the density at 8.2 g/cm³.